# LiMgGa2Ir4 | OQMD | PBE-GGA | relaxed
# density	14.10	g cm⁻³
# magnetic moment	0.00	μB per formula unit
# calculated total energy	-6.00	eV per atom
data_LiMgGa2Ir4
_chemical_formula_sum 'Li1 Mg1 Ga2 Ir4'
_cell_length_a 4.277
_cell_length_b 4.277
_cell_length_c 6.051
_cell_angle_alpha 90.00
_cell_angle_beta 90.00
_cell_angle_gamma 90.00
_space_group_name_H-M_alt 'P 1'
_space_group_IT_number 1
_space_group_name_Hall 'P 1'
loop_
_atom_site_label
_atom_site_fract_x
_atom_site_fract_y
_atom_site_fract_z
_atom_site_occupancy
Li1 0.000 0.000 0.000 1
Mg1 0.500 0.500 0.500 1
Ga1 0.000 0.000 0.500 1
Ga2 0.500 0.500 0.000 1
Ir1 0.000 0.500 0.243 1
Ir2 0.000 0.500 0.757 1
Ir3 0.500 0.000 0.243 1
Ir4 0.500 0.000 0.757 1

---

# NaSmMgTe3 | OQMD | PBE-GGA | relaxed
# density	4.85	g cm⁻³
# magnetic moment	0.00	μB per formula unit
# calculated total energy	-3.95	eV per atom
# offset from the most stable computed form	7	meV/atom
data_NaSmMgTe3
_chemical_formula_sum 'Na2 Sm2 Mg2 Te6'
_cell_length_a 7.767
_cell_length_b 7.767
_cell_length_c 11.982
_cell_angle_alpha 90.00
_cell_angle_beta 90.00
_cell_angle_gamma 146.65
_space_group_name_H-M_alt 'P 1'
_space_group_IT_number 1
_space_group_name_Hall 'P 1'
loop_
_atom_site_label
_atom_site_fract_x
_atom_site_fract_y
_atom_site_fract_z
_atom_site_occupancy
Na1 0.241 0.759 0.750 1
Na2 0.759 0.241 0.250 1
Sm1 0.000 0.000 0.000 1
Sm2 0.000 0.000 0.500 1
Mg1 0.472 0.528 0.250 1
Mg2 0.528 0.472 0.750 1
Te1 0.088 0.912 0.250 1
Te2 0.360 0.640 0.066 1
Te3 0.360 0.640 0.434 1
Te4 0.640 0.360 0.566 1
Te5 0.640 0.360 0.934 1
Te6 0.912 0.088 0.750 1

---

# TbNi2GeP | OQMD | PBE-GGA | relaxed
# density	8.29	g cm⁻³
# magnetic moment	0.00	μB per formula unit
# calculated total energy	-6.04	eV per atom
data_TbNi2GeP
_chemical_formula_sum 'Tb1 Ni2 Ge1 P1'
_cell_length_a 5.587
_cell_length_b 5.587
_cell_length_c 5.587
_cell_angle_alpha 138.38
_cell_angle_beta 138.38
_cell_angle_gamma 60.32
_space_group_name_H-M_alt 'P 1'
_space_group_IT_number 1
_space_group_name_Hall 'P 1'
loop_
_atom_site_label
_atom_site_fract_x
_atom_site_fract_y
_atom_site_fract_z
_atom_site_occupancy
Tb1 0.000 0.000 0.000 1
Ni1 0.259 0.759 0.500 1
Ni2 0.759 0.259 0.500 1
Ge1 0.625 0.625 0.000 1
P1 0.372 0.372 0.000 1

---

# Ta2ReGe | OQMD | PBE-GGA | relaxed
# density	15.75	g cm⁻³
# magnetic moment	0.00	μB per formula unit
# calculated total energy	-10.06	eV per atom
data_Ta2ReGe
_chemical_formula_sum 'Ta2 Re1 Ge1'
_cell_length_a 4.524
_cell_length_b 4.524
_cell_length_c 4.524
_cell_angle_alpha 60.00
_cell_angle_beta 60.00
_cell_angle_gamma 60.00
_space_group_name_H-M_alt 'P 1'
_space_group_IT_number 1
_space_group_name_Hall 'P 1'
loop_
_atom_site_label
_atom_site_fract_x
_atom_site_fract_y
_atom_site_fract_z
_atom_site_occupancy
Ta1 0.000 0.000 0.000 1
Ta2 0.250 0.250 0.250 1
Re1 0.750 0.750 0.750 1
Ge1 0.500 0.500 0.500 1

---

# CsHfAgS3 | OQMD | PBE-GGA | relaxed
# density	5.40	g cm⁻³
# magnetic moment	0.01	μB per formula unit
# calculated total energy	-5.49	eV per atom
data_CsHfAgS3
_chemical_formula_sum 'Cs4 Hf4 Ag4 S12'
_cell_length_a 10.668
_cell_length_b 3.807
_cell_length_c 15.616
_cell_angle_alpha 90.00
_cell_angle_beta 90.00
_cell_angle_gamma 90.00
_space_group_name_H-M_alt 'P 1'
_space_group_IT_number 1
_space_group_name_Hall 'P 1'
loop_
_atom_site_label
_atom_site_fract_x
_atom_site_fract_y
_atom_site_fract_z
_atom_site_occupancy
Cs1 0.245 0.250 0.003 1
Cs2 0.255 0.750 0.503 1
Cs3 0.745 0.250 0.497 1
Cs4 0.755 0.750 0.997 1
Hf1 0.026 0.250 0.739 1
Hf2 0.474 0.750 0.239 1
Hf3 0.526 0.250 0.761 1
Hf4 0.974 0.750 0.261 1
Ag1 0.249 0.250 0.293 1
Ag2 0.251 0.750 0.793 1
Ag3 0.749 0.250 0.207 1
Ag4 0.751 0.750 0.707 1
S1 0.031 0.750 0.852 1
S2 0.042 0.250 0.364 1
S3 0.236 0.250 0.684 1
S4 0.264 0.750 0.184 1
S5 0.458 0.750 0.864 1
S6 0.469 0.250 0.352 1
S7 0.531 0.750 0.648 1
S8 0.542 0.250 0.136 1
S9 0.736 0.250 0.816 1
S10 0.764 0.750 0.316 1
S11 0.958 0.750 0.636 1
S12 0.969 0.250 0.148 1

---

# HfBeCuBi | OQMD | PBE-GGA | relaxed
# density	10.53	g cm⁻³
# magnetic moment	0.00	μB per formula unit
# calculated total energy	-4.93	eV per atom
# offset from the most stable computed form	0	meV/atom
data_HfBeCuBi
_chemical_formula_sum 'Hf1 Be1 Cu1 Bi1'
_cell_length_a 4.681
_cell_length_b 4.681
_cell_length_c 4.681
_cell_angle_alpha 60.00
_cell_angle_beta 60.00
_cell_angle_gamma 60.00
_space_group_name_H-M_alt 'P 1'
_space_group_IT_number 1
_space_group_name_Hall 'P 1'
loop_
_atom_site_label
_atom_site_fract_x
_atom_site_fract_y
_atom_site_fract_z
_atom_site_occupancy
Hf1 0.000 0.000 0.000 1
Be1 0.750 0.750 0.750 1
Cu1 0.250 0.250 0.250 1
Bi1 0.500 0.500 0.500 1

---

# Co4Sb3P | OQMD | PBE-GGA | relaxed
# density	8.40	g cm⁻³
# magnetic moment	0.00	μB per formula unit
# calculated total energy	-5.95	eV per atom
data_Co4Sb3P
_chemical_formula_sum 'Co4 Sb3 P1'
_cell_length_a 5.163
_cell_length_b 3.745
_cell_length_c 6.460
_cell_angle_alpha 90.00
_cell_angle_beta 90.03
_cell_angle_gamma 90.00
_space_group_name_H-M_alt 'P 1'
_space_group_IT_number 1
_space_group_name_Hall 'P 1'
loop_
_atom_site_label
_atom_site_fract_x
_atom_site_fract_y
_atom_site_fract_z
_atom_site_occupancy
Co1 0.000 0.000 0.000 1
Co2 0.007 0.500 0.465 1
Co3 0.471 0.500 0.459 1
Co4 0.481 0.000 0.008 1
Sb1 0.244 0.500 0.814 1
Sb2 0.738 0.000 0.645 1
Sb3 0.745 0.500 0.146 1
P1 0.236 0.000 0.312 1

---

# LuTlFeTe3 | OQMD | PBE-GGA | relaxed
# density	7.43	g cm⁻³
# magnetic moment	3.83	μB per formula unit
# calculated total energy	-4.56	eV per atom
# offset from the most stable computed form	165	meV/atom
data_LuTlFeTe3
_chemical_formula_sum 'Lu2 Tl2 Fe2 Te6'
_cell_length_a 9.411
_cell_length_b 9.411
_cell_length_c 9.402
_cell_angle_alpha 102.24
_cell_angle_beta 102.24
_cell_angle_gamma 26.74
_space_group_name_H-M_alt 'P 1'
_space_group_IT_number 1
_space_group_name_Hall 'P 1'
loop_
_atom_site_label
_atom_site_fract_x
_atom_site_fract_y
_atom_site_fract_z
_atom_site_occupancy
Lu1 0.171 0.171 0.082 1
Lu2 0.829 0.829 0.918 1
Tl1 0.140 0.140 0.566 1
Tl2 0.860 0.860 0.434 1
Fe1 0.490 0.490 0.790 1
Fe2 0.510 0.510 0.210 1
Te1 0.000 0.000 0.000 1
Te2 0.339 0.339 0.144 1
Te3 0.339 0.339 0.705 1
Te4 0.500 0.500 0.500 1
Te5 0.661 0.661 0.295 1
Te6 0.661 0.661 0.856 1

---

# ZrTe7P2 | OQMD | PBE-GGA | relaxed
# density	4.83	g cm⁻³
# magnetic moment	0.00	μB per formula unit
# calculated total energy	-4.28	eV per atom
data_ZrTe7P2
_chemical_formula_sum 'Zr4 Te28 P8'
_cell_length_a 19.078
_cell_length_b 17.854
_cell_length_c 9.767
_cell_angle_alpha 81.72
_cell_angle_beta 67.84
_cell_angle_gamma 30.44
_space_group_name_H-M_alt 'P 1'
_space_group_IT_number 1
_space_group_name_Hall 'P 1'
loop_
_atom_site_label
_atom_site_fract_x
_atom_site_fract_y
_atom_site_fract_z
_atom_site_occupancy
Zr1 0.018 0.018 0.232 1
Zr2 0.232 0.232 0.018 1
Zr3 0.768 0.768 0.982 1
Zr4 0.982 0.982 0.768 1
Te1 0.001 0.517 0.301 1
Te2 0.047 0.859 0.471 1
Te3 0.102 0.240 0.316 1
Te4 0.124 0.471 0.859 1
Te5 0.141 0.953 0.876 1
Te6 0.158 0.684 0.760 1
Te7 0.175 0.575 0.175 1
Te8 0.240 0.102 0.842 1
Te9 0.301 0.681 0.001 1
Te10 0.316 0.842 0.102 1
Te11 0.319 0.699 0.483 1
Te12 0.425 0.825 0.425 1
Te13 0.471 0.124 0.047 1
Te14 0.483 0.999 0.319 1
Te15 0.517 0.001 0.681 1
Te16 0.529 0.876 0.953 1
Te17 0.575 0.175 0.575 1
Te18 0.681 0.301 0.517 1
Te19 0.684 0.158 0.898 1
Te20 0.699 0.319 0.999 1
Te21 0.760 0.898 0.158 1
Te22 0.825 0.425 0.825 1
Te23 0.842 0.316 0.240 1
Te24 0.859 0.047 0.124 1
Te25 0.876 0.529 0.141 1
Te26 0.898 0.760 0.684 1
Te27 0.953 0.141 0.529 1
Te28 0.999 0.483 0.699 1
P1 0.023 0.620 0.121 1
P2 0.121 0.737 0.023 1
P3 0.263 0.879 0.380 1
P4 0.380 0.977 0.263 1
P5 0.620 0.023 0.737 1
P6 0.737 0.121 0.620 1
P7 0.879 0.263 0.977 1
P8 0.977 0.380 0.879 1

---

# LaAlIr | OQMD | PBE-GGA | relaxed
# density	8.76	g cm⁻³
# magnetic moment	0.00	μB per formula unit
# calculated total energy	-6.59	eV per atom
data_LaAlIr
_chemical_formula_sum 'La2 Al2 Ir2'
_cell_length_a 4.363
_cell_length_b 4.363
_cell_length_c 8.237
_cell_angle_alpha 90.00
_cell_angle_beta 90.00
_cell_angle_gamma 120.00
_space_group_name_H-M_alt 'P 1'
_space_group_IT_number 1
_space_group_name_Hall 'P 1'
loop_
_atom_site_label
_atom_site_fract_x
_atom_site_fract_y
_atom_site_fract_z
_atom_site_occupancy
La1 0.000 0.000 0.000 1
La2 0.000 0.000 0.500 1
Al1 0.333 0.667 0.250 1
Al2 0.667 0.333 0.750 1
Ir1 0.333 0.667 0.752 1
Ir2 0.667 0.333 0.252 1

---

# HfCuBiW | OQMD | PBE-GGA | relaxed
# density	13.89	g cm⁻³
# magnetic moment	0.00	μB per formula unit
# calculated total energy	-7.07	eV per atom
# offset from the most stable computed form	0	meV/atom
data_HfCuBiW
_chemical_formula_sum 'Hf1 Cu1 Bi1 W1'
_cell_length_a 4.752
_cell_length_b 4.752
_cell_length_c 4.752
_cell_angle_alpha 60.00
_cell_angle_beta 60.00
_cell_angle_gamma 60.00
_space_group_name_H-M_alt 'P 1'
_space_group_IT_number 1
_space_group_name_Hall 'P 1'
loop_
_atom_site_label
_atom_site_fract_x
_atom_site_fract_y
_atom_site_fract_z
_atom_site_occupancy
Hf1 0.000 0.000 0.000 1
Cu1 0.750 0.750 0.750 1
Bi1 0.500 0.500 0.500 1
W1 0.250 0.250 0.250 1

---

# AgW2Au | OQMD | PBE-GGA | relaxed
# density	16.49	g cm⁻³
# magnetic moment	0.00	μB per formula unit
# energy relative to the elements	691	meV per atom
# calculated total energy	-7.31	eV per atom
data_AgW2Au
_chemical_formula_sum 'Ag1 W2 Au1'
_cell_length_a 4.575
_cell_length_b 4.575
_cell_length_c 4.575
_cell_angle_alpha 60.00
_cell_angle_beta 60.00
_cell_angle_gamma 60.00
_space_group_name_H-M_alt 'P 1'
_space_group_IT_number 1
_space_group_name_Hall 'P 1'
loop_
_atom_site_label
_atom_site_fract_x
_atom_site_fract_y
_atom_site_fract_z
_atom_site_occupancy
Ag1 0.000 0.000 0.000 1
W1 0.500 0.500 0.500 1
W2 0.750 0.750 0.750 1
Au1 0.250 0.250 0.250 1